Record 1
DFT (PBE) results for a relaxed structure of MgNb2Rh4.

```
7
Lattice="-2.251 2.251 6.366 2.251 -2.251 6.366 2.251 2.251 -6.366" Properties=species:S:1:pos:R:3 pbc="T T T"
Mg 0.000 0.000 0.000
Nb 0.000 0.000 4.753
Nb 0.000 0.000 7.980
Rh 2.251 0.000 0.000
Rh 0.000 0.000 2.463
Rh 0.000 2.251 0.000
Rh 0.000 0.000 10.270
```

Computed properties:
- energy of formation from the pure elements (meV per atom) = 559
- SG = I4/mmm (139)

***

Record 2
DFT (PBE) results for a relaxed structure of SrVPd.

```
6
Lattice="2.552 -2.600 0.000 2.552 2.600 0.000 0.000 0.000 10.623" Properties=species:S:1:pos:R:3 pbc="T T T"
Sr 0.000 0.000 1.863
Sr 0.000 0.000 8.760
V 2.552 0.000 4.367
V 2.552 0.000 6.256
Pd 0.000 0.000 5.311
Pd 2.552 0.000 0.000
```

Computed properties:
- energy of formation from the pure elements (meV per atom) = 78
- SG = Cmmm (65)

***

Record 3
DFT (PBE) results for a relaxed structure of ScBiO2.

```
8
Lattice="-2.752 2.752 4.837 2.752 -2.752 4.837 2.752 2.752 -4.837" Properties=species:S:1:pos:R:3 pbc="T T T"
Sc 0.000 0.000 0.000
Sc 0.000 2.752 2.419
Bi 2.752 0.000 2.419
Bi 0.000 0.000 4.837
O 4.128 0.789 -1.209
O 0.789 1.376 1.209
O -1.376 1.963 3.628
O 1.963 1.376 6.047
```

Computed properties:
- SG = I-42d (122)
- E_form (uncorrected) (eV/atom) = -1.98

***

Record 4
DFT (PBE) results for a relaxed structure of LaSi2RuRh.

```
5
Lattice="-2.097 2.097 5.064 2.097 -2.097 5.064 2.097 2.097 -5.064" Properties=species:S:1:pos:R:3 pbc="T T T"
La 0.000 0.000 0.000
Si 0.000 0.000 3.719
Si 0.000 0.000 6.409
Ru 0.000 2.097 2.532
Rh 2.097 0.000 2.532
```

Computed properties:
- SG = I-4m2 (119)
- E_form (uncorrected) (eV/atom) = -1.00

***

Record 5
DFT (PBE) results for a relaxed structure of YTl5F8.

```
14
Lattice="-3.970 3.970 4.347 3.970 -3.970 4.347 3.970 3.970 -4.347" Properties=species:S:1:pos:R:3 pbc="T T T"
Y 0.000 0.000 0.000
Tl 2.097 3.080 -1.121
Tl 4.861 2.097 1.121
Tl 1.873 0.890 3.226
Tl 0.000 3.970 2.173
Tl -0.890 1.873 5.467
F 5.826 -0.591 0.690
F 4.429 2.669 -2.438
F 2.114 0.591 0.690
F 3.380 -1.856 3.656
F -0.458 1.301 1.909
F 4.561 1.856 3.656
F 2.669 3.512 2.438
F 1.301 0.458 6.784
```

Computed properties:
- SG = I-4 (82)
- E_form (uncorrected) (eV/atom) = -2.41

***

Record 6
DFT (PBE) results for a relaxed structure of CrReAu2Se.

```
5
Lattice="4.902 0.000 0.000 0.000 4.902 0.000 0.000 0.000 4.539" Properties=species:S:1:pos:R:3 pbc="T T T"
Cr 0.000 0.000 0.000
Re 2.451 2.451 0.000
Au 0.000 2.451 2.270
Au 2.451 0.000 2.270
Se 0.000 0.000 2.270
```

Computed properties:
- SG = P4/mmm (123)
- E_form (uncorrected) (eV/atom) = 1.51